A geometry-optimized Mn2CdB2Rh5 structure. Source: the Alexandria database, functional PBE-GGA.

Unit cell a=2.958 b=9.567 c=9.567 alpha=90.00 beta=90.00 gamma=90.00
Each line ends with the local moment (μB).
Sites, in units of the cell vectors:
Cd1 0.000 0.500 0.500  -0.01
Cd2 0.000 0.000 0.000  -0.01
Rh1 0.500 0.430 0.275  0.22
Rh2 0.500 0.930 0.225  0.22
Rh3 0.500 0.225 0.070  0.22
Rh4 0.500 0.275 0.570  0.22
Rh5 0.500 0.070 0.775  0.22
Rh6 0.500 0.500 0.000  0.22
Rh7 0.500 0.570 0.725  0.22
Rh8 0.500 0.725 0.430  0.22
Rh9 0.500 0.000 0.500  0.22
Rh10 0.500 0.775 0.930  0.22
Mn1 0.000 0.178 0.322  3.99
Mn2 0.000 0.822 0.678  3.99
Mn3 0.000 0.678 0.178  3.99
Mn4 0.000 0.322 0.822  3.99
B1 0.000 0.875 0.375  -0.04
B2 0.000 0.125 0.625  -0.04
B3 0.000 0.625 0.875  -0.04
B4 0.000 0.375 0.125  -0.04

Output
magnetization = 18.593 μB/cell
D(E_F) = 0.477 states/eV/atom
DFT total energy = -7.190 eV/atom
formation enthalpy at 0 K = -2.54 eV/f.u.



A geometry-optimized SrMnCdB2 structure. Source: the Alexandria database, functional PBE-GGA.

Unit cell a=4.528 b=5.006 c=4.528 alpha=90.00 beta=90.00 gamma=90.00
Each line ends with the local moment (μB).
Sites, in units of the cell vectors:
Sr1 0.500 0.500 0.500  -0.02
B1 0.500 0.000 0.000  -0.04
B2 0.000 0.000 0.500  -0.01
Mn1 0.000 0.500 0.000  3.78
Cd1 0.000 0.000 0.000  0.01

Output
magnetization = 3.869 μB/cell
energy above the lowest structure with this stoichiometry = 0 meV/atom
D(E_F) = 1.098 states/eV/atom
DFT total energy = -3.584 eV/atom
formation enthalpy at 0 K = 7.20 eV/f.u.



A geometry-optimized SrMnCdB2 structure. Source: the Alexandria database, functional PBE-GGA.

Unit cell a=4.842 b=4.839 c=4.842 alpha=90.00 beta=90.00 gamma=90.00
Each line ends with the local moment (μB).
Sites, in units of the cell vectors:
Sr1 0.000 0.000 0.000  -0.01
Mn1 0.000 0.500 0.000  0.24
Cd1 0.500 0.500 0.500  -0.02
B1 0.500 0.000 0.000  -0.01
B2 0.000 0.000 0.500  0.01

Output
magnetization = 0.145 μB/cell
energy above the lowest structure with this stoichiometry = 1290 meV/atom
D(E_F) = 1.132 states/eV/atom
DFT total energy = -2.294 eV/atom
formation enthalpy at 0 K = 13.65 eV/f.u.



A geometry-optimized TaMn2CdB structure. Source: the Alexandria database, functional PBE-GGA.

Unit cell a=4.039 b=4.290 c=4.039 alpha=90.00 beta=90.00 gamma=90.00
Each line ends with the local moment (μB).
Sites, in units of the cell vectors:
Cd1 0.000 0.500 0.000  -0.01
Mn1 0.000 0.000 0.500  2.09
Mn2 0.500 0.000 0.000  2.05
Ta1 0.500 0.500 0.500  -0.36
B1 0.000 0.000 0.000  -0.10

Output
magnetization = 3.662 μB/cell
D(E_F) = 0.903 states/eV/atom
DFT total energy = -7.064 eV/atom
formation enthalpy at 0 K = 2.46 eV/f.u.



A geometry-optimized MnCdBTe2 structure. Source: the Alexandria database, functional PBE-GGA.

Unit cell a=5.030 b=3.949 c=5.030 alpha=90.00 beta=90.00 gamma=90.00
Each line ends with the local moment (μB).
Sites, in units of the cell vectors:
Cd1 0.500 0.500 0.500  0.00
Te1 0.000 0.000 0.500  -0.02
Te2 0.500 0.000 0.000  -0.04
Mn1 0.000 0.500 0.000  0.38
B1 0.000 0.000 0.000  0.00

Output
magnetization = 0.341 μB/cell
D(E_F) = 1.167 states/eV/atom
DFT total energy = -3.832 eV/atom



A geometry-optimized MnTlCdB structure. Source: the Alexandria database, functional PBE-GGA.

Unit cell a=2.928 b=2.928 c=8.248 alpha=90.00 beta=89.95 gamma=90.00
Each line ends with the local moment (μB).
Sites, in units of the cell vectors:
B1 0.123 0.500 0.146  -0.19
Cd1 0.124 0.500 0.450  -0.01
Tl1 0.617 0.000 0.798  0.01
Mn1 0.623 0.000 0.167  2.08

Output
magnetization = 1.881 μB/cell
energy above the lowest structure with this stoichiometry = 0 meV/atom
D(E_F) = 0.421 states/eV/atom
DFT total energy = -4.486 eV/atom
formation enthalpy at 0 K = 1.19 eV/f.u.



> The highest magnetization belongs to which entry?

Mn2CdB2Rh5